Model i:
Below is a relaxed CeDy2Rh3 crystal, with properties calculated at the PBE level.

Results
As for the symmetry: Cmcm.

Structure (POSCAR):
```
CeDy2Rh3
1.0
-5.036 1.192 0.199
-1.449 -5.594 -3.157
1.943 -4.116 6.413
Rh Ce Dy
6 2 4
Direct
0.626 0.250 0.000
0.171 0.750 0.342
0.829 0.750 0.658
0.374 0.750 0.000
0.171 0.250 0.342
0.829 0.250 0.658
0.881 0.750 0.000
0.119 0.250 0.000
0.334 0.500 0.668
0.334 0.000 0.668
0.666 0.000 0.332
0.666 0.500 0.332
```


Model ii:
Below is a relaxed CeDy2Rh3 crystal, with properties calculated at the PBE level.

Results
As for the symmetry: P-3m1.

Structure (POSCAR):
```
CeDy2Rh3
1.0
4.875 0.000 0.000
-2.438 4.222 0.000
0.000 0.000 5.971
Dy Rh Ce
2 3 1
Direct
0.667 0.333 0.339
0.333 0.667 0.661
0.667 0.333 0.845
0.333 0.667 0.155
0.000 0.000 0.500
0.000 0.000 0.000
```


Q: Which of them is the least stable? A: model i.


Model i:
Below is a relaxed Ce2Dy2Rh3 crystal, with properties calculated at the PBE level.

Results
As for the symmetry: I2_13.

Structure (POSCAR):
```
Ce2Dy2Rh3
1.0
-1.137 3.390 -6.571
-5.876 -4.338 1.617
0.842 5.157 5.354
Rh Ce Dy
6 4 4
Direct
0.750 0.640 0.390
0.360 0.110 0.750
0.250 0.860 0.110
0.140 0.390 0.250
0.890 0.250 0.640
0.610 0.750 0.860
0.000 0.000 0.382
0.500 0.382 0.500
0.618 0.118 0.118
0.882 0.500 0.000
0.382 0.500 0.000
0.500 0.882 0.500
0.118 0.618 0.618
0.000 0.000 0.882
```


Model ii:
Below is a relaxed Ce2Dy2Rh3 crystal, with properties calculated at the PBE level.

Results
As for the symmetry: C2/m.

Structure (POSCAR):
```
Ce2Dy2Rh3
1.0
4.675 -0.004 0.001
-2.333 5.395 -0.296
-0.003 -1.073 7.043
Dy Rh Ce
2 3 2
Direct
0.637 0.273 0.918
0.363 0.727 0.082
0.000 0.000 0.000
0.189 0.378 0.713
0.811 0.622 0.287
0.873 0.745 0.639
0.127 0.255 0.361
```


Q: Which of them is the least stable? A: model ii.


Model i:
Below is a relaxed Ce2DyRh crystal, with properties calculated at the PBE level.

Results
As for the symmetry: R-3m.

Structure (POSCAR):
```
Ce2DyRh
1.0
3.747 0.000 0.000
1.873 3.245 0.000
1.873 1.082 9.191
Ce Rh Dy
2 1 1
Direct
0.269 0.269 0.192
0.731 0.731 0.808
0.000 0.000 0.000
0.500 0.500 0.500
```


Model ii:
Below is a relaxed Ce2DyRh crystal, with properties calculated at the PBE level.

Results
As for the symmetry: P4/mmm.

Structure (POSCAR):
```
Ce2DyRh
1.0
3.683 0.000 0.000
0.000 3.683 0.000
0.000 0.000 7.536
Dy Ce Rh
1 2 1
Direct
0.500 0.500 0.500
0.000 0.000 0.807
0.000 0.000 0.193
0.500 0.500 0.000
```


Q: Which of them is the least stable? A: model i.


Model i:
Below is a relaxed CeDyRh crystal, with properties calculated at the PBE level.

Results
As for the symmetry: Pm.

Structure (POSCAR):
```
CeDyRh
1.0
4.638 -0.007 -0.719
0.009 4.664 0.008
-3.277 -0.007 7.607
Dy Ce Rh
2 2 2
Direct
0.203 0.645 0.364
0.595 0.145 0.738
0.487 0.145 0.129
0.081 0.645 0.749
0.739 0.645 0.979
0.878 0.145 0.485
```


Model ii:
Below is a relaxed CeDyRh crystal, with properties calculated at the PBE level.

Results
As for the symmetry: I4mm.

Structure (POSCAR):
```
CeDyRh
1.0
3.501 0.000 0.000
0.000 3.501 0.000
-1.751 -1.751 6.055
Rh Ce Dy
1 1 1
Direct
0.665 0.665 0.331
0.031 0.031 0.061
0.304 0.304 0.608
```


Q: Which of them is the least stable? A: model i.


Model i:
Below is a relaxed CeDyRh crystal, with properties calculated at the PBE level.

Results
As for the symmetry: Cmcm.

Structure (POSCAR):
```
CeDyRh
1.0
4.781 0.000 0.122
0.000 5.118 0.000
-0.146 -2.560 5.746
Ce Dy Rh
2 2 2
Direct
0.750 0.090 0.179
0.250 0.910 0.821
0.250 0.618 0.235
0.750 0.382 0.765
0.750 0.767 0.535
0.250 0.233 0.465
```


Model ii:
Below is a relaxed CeDyRh crystal, with properties calculated at the PBE level.

Results
As for the symmetry: F-43m.

Structure (POSCAR):
```
CeDyRh
1.0
4.842 0.000 0.000
2.421 4.193 0.000
2.421 1.398 3.953
Ce Rh Dy
1 1 1
Direct
0.500 0.500 0.500
0.250 0.250 0.250
0.000 0.000 0.000
```


Q: Which of them is the least stable? A: model ii.


Model i:
Below is a relaxed CeDy2Rh2 crystal, with properties calculated at the PBE level.

Results
As for the symmetry: C2/m.

Structure (POSCAR):
```
CeDy2Rh2
1.0
5.625 0.000 0.000
2.812 6.338 0.744
2.812 2.862 7.736
Rh Dy Ce
4 4 2
Direct
0.825 0.720 0.630
0.175 0.280 0.370
0.484 0.268 0.764
0.516 0.732 0.236
0.012 0.241 0.736
0.329 0.773 0.569
0.671 0.227 0.431
0.988 0.759 0.264
0.660 0.758 0.922
0.340 0.242 0.078
```


Model ii:
Below is a relaxed CeDy2Rh2 crystal, with properties calculated at the PBE level.

Results
As for the symmetry: Cmcm.

Structure (POSCAR):
```
CeDy2Rh2
1.0
5.534 0.000 0.000
0.000 5.471 -2.341
0.000 0.090 7.774
Dy Ce Rh
4 2 4
Direct
0.250 0.586 0.173
0.750 0.782 0.564
0.250 0.218 0.436
0.750 0.414 0.827
0.000 0.000 0.000
0.500 0.000 0.000
0.250 0.617 0.751
0.750 0.383 0.249
0.250 0.134 0.751
0.750 0.866 0.249
```


Q: Which of them is the least stable? A: model ii.